Record 1
DFT (PBE-GGA) results for crystalline Ce6Pd3Rh at its relaxed geometry.

```
Ce6Pd3Rh
1.0
5.621 0.000 0.000
0.000 8.215 0.000
-5.616 0.000 9.984
Ce Pd Rh
12 6 2
direct
0.018 0.154 0.061 Ce
0.018 0.346 0.561 Ce
0.392 0.150 0.445 Ce
0.392 0.350 0.945 Ce
0.396 0.642 0.244 Ce
0.396 0.858 0.744 Ce
0.604 0.142 0.256 Ce
0.604 0.358 0.756 Ce
0.608 0.650 0.055 Ce
0.608 0.850 0.555 Ce
0.982 0.654 0.439 Ce
0.982 0.846 0.939 Ce
0.010 0.603 0.750 Pd
0.010 0.897 0.250 Pd
0.500 0.000 0.000 Pd
0.500 0.500 0.500 Pd
0.990 0.103 0.750 Pd
0.990 0.397 0.250 Pd
0.000 0.000 0.500 Rh
0.000 0.500 0.000 Rh
```

Calculated values
**V**: 461.0 Å³ per cell
**ΔH_f (0 K)**: -4.41 eV per formula unit

Record 2
DFT (PBE-GGA) results for crystalline Ce2PdRh4 at its relaxed geometry.

```
Ce2PdRh4
1.0
-1.925 1.925 9.132
1.925 -1.925 9.132
1.925 1.925 -9.132
Ce Pd Rh
2 1 4
direct
0.108 0.108 0.000 Ce
0.892 0.892 0.000 Ce
0.500 0.500 0.000 Pd
0.250 0.750 0.500 Rh
0.354 0.354 0.000 Rh
0.646 0.646 0.000 Rh
0.750 0.250 0.500 Rh
```

Calculated values
**V**: 135.4 Å³ per cell
**ΔH_f (0 K)**: -3.34 eV per formula unit

Record 3
DFT (PBE-GGA) results for crystalline Ce5PdRh2 at its relaxed geometry.

```
Ce5PdRh2
1.0
2.330 -5.215 0.000
2.330 5.215 0.000
0.000 0.000 15.383
Ce Pd Rh
10 2 4
direct
0.079 0.921 0.609 Ce
0.079 0.921 0.891 Ce
0.226 0.774 0.250 Ce
0.417 0.583 0.575 Ce
0.417 0.583 0.925 Ce
0.583 0.417 0.075 Ce
0.583 0.417 0.425 Ce
0.774 0.226 0.750 Ce
0.921 0.079 0.109 Ce
0.921 0.079 0.391 Ce
0.483 0.517 0.750 Pd
0.517 0.483 0.250 Pd
0.249 0.751 0.075 Rh
0.249 0.751 0.425 Rh
0.751 0.249 0.575 Rh
0.751 0.249 0.925 Rh
```

Calculated values
**V**: 373.8 Å³ per cell
**ΔH_f (0 K)**: -4.17 eV per formula unit

Record 4
DFT (PBE-GGA) results for crystalline CeSbPdRh at its relaxed geometry.

```
CeSbPdRh
1.0
0.000 3.421 3.421
3.421 0.000 3.421
3.421 3.421 0.000
Ce Sb Pd Rh
1 1 1 1
direct
0.000 0.000 0.000 Ce
0.500 0.500 0.500 Sb
0.250 0.250 0.250 Pd
0.750 0.750 0.750 Rh
```

Calculated values
**V**: 80.0 Å³ per cell
**Formation energy without anion corrections**: -0.69 eV/atom

Record 5
DFT (PBE-GGA) results for crystalline Ce2Sb4PdRh3 at its relaxed geometry.

```
Ce2Sb4PdRh3
1.0
4.609 0.000 0.000
0.000 4.609 0.000
0.000 0.000 10.298
Ce Sb Pd Rh
2 4 1 3
direct
0.000 0.500 0.245 Ce
0.500 0.000 0.755 Ce
0.000 0.000 0.500 Sb
0.000 0.500 0.868 Sb
0.500 0.000 0.132 Sb
0.500 0.500 0.500 Sb
0.500 0.500 0.000 Pd
0.000 0.000 0.000 Rh
0.000 0.500 0.619 Rh
0.500 0.000 0.381 Rh
```

Calculated values
**V**: 218.8 Å³ per cell
**Formation energy without anion corrections**: -0.78 eV/atom

Record 6
DFT (PBE-GGA) results for crystalline Ce2Si4PdRh3 at its relaxed geometry.

```
Ce2Si4PdRh3
1.0
4.147 0.000 0.000
0.000 4.147 0.000
0.000 0.000 9.995
Ce Si Pd Rh
2 4 1 3
direct
0.000 0.500 0.241 Ce
0.500 0.000 0.759 Ce
0.000 0.000 0.000 Si
0.000 0.500 0.635 Si
0.500 0.000 0.365 Si
0.500 0.500 0.000 Si
0.000 0.000 0.500 Pd
0.000 0.500 0.875 Rh
0.500 0.000 0.125 Rh
0.500 0.500 0.500 Rh
```

Calculated values
**V**: 171.9 Å³ per cell
**Formation energy without anion corrections**: -0.99 eV/atom

Record 7
DFT (PBE-GGA) results for crystalline CeSi2PdRh at its relaxed geometry.

```
CeSi2PdRh
1.0
-2.045 2.045 5.124
2.045 -2.045 5.124
2.045 2.045 -5.124
Ce Si Pd Rh
1 2 1 1
direct
0.000 0.000 0.000 Ce
0.384 0.384 0.000 Si
0.616 0.616 0.000 Si
0.250 0.750 0.500 Pd
0.750 0.250 0.500 Rh
```

Calculated values
**V**: 85.7 Å³ per cell
**Formation energy without anion corrections**: -0.95 eV/atom

Record 8
DFT (PBE-GGA) results for crystalline Ce2Si4Pd3Rh at its relaxed geometry.

```
Ce2Si4Pd3Rh
1.0
4.200 0.000 0.000
0.000 4.200 0.000
0.000 0.000 9.962
Ce Si Pd Rh
2 4 3 1
direct
0.000 0.500 0.247 Ce
0.500 0.000 0.753 Ce
0.000 0.000 0.000 Si
0.000 0.500 0.631 Si
0.500 0.000 0.369 Si
0.500 0.500 0.000 Si
0.000 0.500 0.876 Pd
0.500 0.000 0.124 Pd
0.500 0.500 0.500 Pd
0.000 0.000 0.500 Rh
```

Calculated values
**V**: 175.7 Å³ per cell
**Formation energy without anion corrections**: -0.90 eV/atom